Computed, not measured: crystalline CsNa2CdH at its relaxed geometry at the PBE level of DFT.

* electronic total energy: -1.492 eV per atom
* theoretical density: 3.0 g/cm3

abc: 5.092 5.092 6.154
angles: 90.00 90.00 90.00
Sites, in units of the cell vectors:
1 Na 0.500 0.000 0.000
2 Na 0.000 0.500 0.000
3 H 0.000 0.000 0.000
4 Cd 0.500 0.500 0.500
5 Cs 0.000 0.000 0.500

Computed, not measured: crystalline Cs3NaCd2H8 at its relaxed geometry at the PBE level of DFT.

* electronic total energy: -2.489 eV per atom
* theoretical density: 3.7 g/cm3

abc: 6.376 6.376 8.393
angles: 90.00 90.00 120.00
Sites, in units of the cell vectors:
1 H 0.667 0.333 0.973
2 H 0.333 0.667 0.027
3 H 0.648 0.824 0.328
4 H 0.176 0.352 0.328
5 H 0.176 0.824 0.328
6 H 0.824 0.648 0.672
7 H 0.824 0.176 0.672
8 H 0.352 0.176 0.672
9 Cd 0.667 0.333 0.758
10 Cd 0.333 0.667 0.242
11 Cs 0.667 0.333 0.322
12 Cs 0.333 0.667 0.678
13 Cs 0.000 0.000 0.000
14 Na 0.000 0.000 0.500

Computed, not measured: crystalline Cs2NbCdH at its relaxed geometry at the PBE level of DFT.

* electronic total energy: -2.359 eV per atom
* theoretical density: 4.7 g/cm3

abc: 6.753 3.662 6.753
angles: 90.00 90.00 90.00
Site moments in Bohr magnetons follow the coordinates.
Sites, in units of the cell vectors:
1 Cs 0.500 0.000 0.000  0.06
2 Cs 0.000 0.000 0.500  0.06
3 Nb 0.000 0.000 0.000  2.35
4 Cd 0.500 0.500 0.500  -0.02
5 H 0.000 0.500 0.000  -0.01